A plane-wave DFT calculation with PBE was carried out for an optimized crystal structure of Pu2SnPd2. Values from VASP.

```
&SYSTEM
  ibrav = 0, nat = 10, ntyp = 3
/
ATOMIC_SPECIES
Pu 244.00 Pu.upf
Sn 118.71 Sn.upf
Pd 106.42 Pd.upf
ATOMIC_POSITIONS crystal
Pu 0.0000 0.0000 0.1981
Pu 0.0000 0.0000 0.8019
Pu 0.5000 0.5000 0.3019
Pu 0.5000 0.5000 0.6981
Sn 0.0000 0.5000 0.0000
Sn 0.5000 0.0000 0.5000
Pd 0.0000 0.2702 0.5000
Pd 0.0000 0.7298 0.5000
Pd 0.5000 0.2298 0.0000
Pd 0.5000 0.7702 0.0000
CELL_PARAMETERS angstrom
4.6163 0.0000 0.0000
0.0000 5.8144 0.0000
0.0000 0.0000 8.3956
```

Values from the calculation:
Final energy, eV/f.u.: -45.72
Energy of formation from the pure elements, eV/atom: -0.53